# 1
# LaTlRe2 GGA-PBE optimized geometry
data_LaTlRe2
_space_group_name_H-M_alt 'I -4 2 d'
_space_group_IT_number 122
_space_group_name_Hall 'I -4 2bw'
_cell_length_a 8.014
_cell_length_b 8.014
_cell_length_c 5.724
_cell_angle_alpha 90.00
_cell_angle_beta 90.00
_cell_angle_gamma 90.00
loop_
_atom_site_label
_atom_site_type_symbol
_atom_site_fract_x
_atom_site_fract_y
_atom_site_fract_z
La1 La 0.000 0.000 0.000
Tl1 Tl 0.000 0.000 0.500
Re1 Re 0.224 0.250 0.625
# Crystal system = tetragonal
# Excess energy over the best structure of this formula in the dataset = 1230 meV per atom
# Formation enthalpy at 0 K = 1421 meV/atom


# 2
# Dy5ThBi4 GGA-PBE optimized geometry
data_Dy5ThBi4
_space_group_name_H-M_alt 'C 1 2/m 1'
_space_group_IT_number 12
_space_group_name_Hall '-C 2y'
_cell_length_a 19.085
_cell_length_b 4.456
_cell_length_c 8.547
_cell_angle_alpha 90.00
_cell_angle_beta 107.07
_cell_angle_gamma 90.00
loop_
_atom_site_label
_atom_site_type_symbol
_atom_site_fract_x
_atom_site_fract_y
_atom_site_fract_z
Dy1 Dy 0.000 0.000 0.000
Dy2 Dy 0.158 0.500 0.298
Dy3 Dy 0.190 0.500 0.844
Th1 Th 0.000 0.000 0.500
Bi1 Bi 0.020 0.500 0.775
Bi2 Bi 0.173 0.000 0.573
# Crystal system = monoclinic
# Formation enthalpy at 0 K = -407 meV/atom


# 3
# AcNi3As3 GGA-PBE optimized geometry
data_AcNi3As3
_space_group_name_H-M_alt 'P m -3 n'
_space_group_IT_number 223
_space_group_name_Hall '-P 4n 2 3'
_cell_length_a 6.486
_cell_length_b 6.486
_cell_length_c 6.486
_cell_angle_alpha 90.00
_cell_angle_beta 90.00
_cell_angle_gamma 90.00
loop_
_atom_site_label
_atom_site_type_symbol
_atom_site_fract_x
_atom_site_fract_y
_atom_site_fract_z
Ac1 Ac 0.000 0.000 0.000
Ni1 Ni 0.000 0.250 0.500
As1 As 0.000 0.500 0.250
# Crystal system = cubic
# Formation enthalpy at 0 K = -558 meV/atom


# 4
# KCrI4 GGA-PBE optimized geometry
data_KCrI4
_space_group_name_H-M_alt 'C 1 2/c 1'
_space_group_IT_number 15
_space_group_name_Hall '-C 2yc'
_cell_length_a 10.569
_cell_length_b 16.291
_cell_length_c 7.150
_cell_angle_alpha 90.00
_cell_angle_beta 104.63
_cell_angle_gamma 90.00
loop_
_atom_site_label
_atom_site_type_symbol
_atom_site_fract_x
_atom_site_fract_y
_atom_site_fract_z
K1 K 0.000 0.242 0.250
Cr1 Cr 0.000 0.437 0.750
I1 I 0.148 0.444 0.128
I2 I 0.169 0.318 0.692
# Crystal system = monoclinic
# E_form (uncorrected) = -0.726 eV/atom


# 5
# Zr2CuAu GGA-PBE optimized geometry
data_Zr2CuAu
_space_group_name_H-M_alt 'P 4 m m'
_space_group_IT_number 99
_space_group_name_Hall 'P 4 -2'
_cell_length_a 3.438
_cell_length_b 3.438
_cell_length_c 6.447
_cell_angle_alpha 90.00
_cell_angle_beta 90.00
_cell_angle_gamma 90.00
loop_
_atom_site_label
_atom_site_type_symbol
_atom_site_fract_x
_atom_site_fract_y
_atom_site_fract_z
Zr1 Zr 0.000 0.000 0.000
Zr2 Zr 0.500 0.500 0.305
Cu1 Cu 0.500 0.500 0.772
Au1 Au 0.000 0.000 0.550
# Crystal system = tetragonal
# Formation enthalpy at 0 K = -337 meV/atom


# 6
# Li6AgGe GGA-PBE optimized geometry
data_Li6AgGe
_space_group_name_H-M_alt 'A m m 2'
_space_group_IT_number 38
_space_group_name_Hall 'A 2 -2'
_cell_length_a 4.630
_cell_length_b 5.726
_cell_length_c 9.893
_cell_angle_alpha 90.00
_cell_angle_beta 90.00
_cell_angle_gamma 90.00
loop_
_atom_site_label
_atom_site_type_symbol
_atom_site_fract_x
_atom_site_fract_y
_atom_site_fract_z
Li1 Li 0.000 0.000 0.000
Li2 Li 0.000 0.231 0.769
Li3 Li 0.500 0.000 0.347
Li4 Li 0.500 0.246 0.594
Ag1 Ag 0.000 0.000 0.513
Ge1 Ge 0.500 0.000 0.845
# Crystal system = orthorhombic
# Excess energy over the best structure of this formula in the dataset = 0 meV per atom
# Formation enthalpy at 0 K = -219 meV/atom


What E values result from the calculations? In sequence: -6.63, -5.00, -5.62, -3.55, -6.45, -2.59 eV per atom.